A plane-wave DFT calculation with PBE-GGA was carried out for Zr5Se2 after structural relaxation.

a b c (Å): 5.644 6.623 8.451
angles (deg): 94.92 109.51 90.00
Fractional coordinates of all 14 atoms:
Zr (0.853, 0.292, 0.461)
Zr (0.607, 0.792, 0.461)
Zr (0.201, 0.426, 0.197)
Zr (0.147, 0.708, 0.539)
Zr (0.624, 0.250, 0.000)
Zr (0.376, 0.750, 0.000)
Zr (0.005, 0.074, 0.803)
Zr (0.799, 0.574, 0.803)
Zr (0.393, 0.208, 0.539)
Zr (0.995, 0.926, 0.197)
Se (0.537, 0.923, 0.769)
Se (0.232, 0.423, 0.769)
Se (0.768, 0.577, 0.231)
Se (0.463, 0.077, 0.231)

Computed properties:
- Final energy: -7.793 eV/atom
- Crystal system: monoclinic
- Formation energy without anion corrections: -692 meV/atom
- Density: 6.877 g/cm3